# 1
The following is a SCAN calculation of a PBEsol-optimized structure of Na2ZnNiPb, from Alexandria via LeMat-Bulk.

Summary:
Energy of formation in eV per atom: 0.402
Fermi-level density of states in states/eV/cell: 3.01

Lattice parameters (Å, degrees): 5.1595 5.1595 4.4670 90.00 90.00 90.00
Last column: nearest neighbours and their distance in Å.
Space group P4/mmm (No. 123)
Unique sites:
Na: 0.0000 0.5000 0.0000 (multiplicity 2)  2 Zn 2.58
Zn: 0.0000 0.0000 0.0000 (multiplicity 1)  2 Ni 2.23
Ni: 0.0000 0.0000 0.5000 (multiplicity 1)  2 Zn 2.23
Pb: 0.5000 0.5000 0.5000 (multiplicity 1)  8 Na 3.41, 4 Ni 3.65



# 2
The following is a SCAN calculation of a PBEsol-optimized structure of Ba3MoF, from Alexandria via LeMat-Bulk.

Summary:
ΔE_f (raw) in eV per atom: -0.50
Fermi-level density of states in states/eV/cell: 3.83

Lattice parameters (Å, degrees): 5.3755 5.3755 5.3755 90.00 90.00 90.00
Last column: nearest neighbours and their distance in Å.
Space group Pm-3m (No. 221)
Unique sites:
Ba: 0.0000 0.0000 0.5000 (multiplicity 3)  2 F 2.69
Mo: 0.5000 0.5000 0.5000 (multiplicity 1)  12 Ba 3.80
F: 0.0000 0.0000 0.0000 (multiplicity 1)  6 Ba 2.69



# 3
The following is a SCAN calculation of a PBEsol-optimized structure of MnNb2B2, from Alexandria via LeMat-Bulk.

Summary:
Energy of formation in eV per atom: -0.618
Fermi-level density of states in states/eV/cell: 4.17

Lattice parameters (Å, degrees): 5.8141 5.8141 3.2921 90.00 90.00 90.00
Last column: nearest neighbours and their distance in Å.
Space group P4/mbm (No. 127)
Unique sites:
Mn: 0.0000 0.0000 0.0000 (multiplicity 2)  4 B 2.34
Nb: 0.1799 0.3201 0.5000 (multiplicity 4)  6 B 2.37-2.40
B: 0.1129 0.6129 0.0000 (multiplicity 4)  1 B 1.86